A geometry-optimized BaLa14Pm structure, computed with GGA-PBE.

Summary:
* energy: -75.00 eV for the cell shown
* SG: P4/mmm

abc: 7.504 7.504 10.561
angles: 90.00 90.00 90.00
Sites, in units of the cell vectors:
La1 0.875 0.375 0.500
La2 0.134 0.616 0.244
La3 0.134 0.134 0.756
La4 0.134 0.616 0.756
La5 0.616 0.616 0.244
La6 0.616 0.134 0.244
La7 0.616 0.616 0.756
La8 0.375 0.375 0.000
La9 0.375 0.875 0.000
La10 0.375 0.875 0.500
La11 0.616 0.134 0.756
La12 0.875 0.875 0.000
La13 0.875 0.375 0.000
La14 0.134 0.134 0.244
Ba1 0.875 0.875 0.500
Pm1 0.375 0.375 0.500

***

A geometry-optimized LiTlSiO3 structure, computed with GGA-PBE.

Summary:
* formation energy from raw total energies: -2.00 eV/atom
* SG: Cmcm

abc: 4.981 5.311 7.033
angles: 112.18 90.00 90.00
Sites, in units of the cell vectors:
Tl1 0.250 0.744 0.488
Tl2 0.750 0.256 0.512
O1 0.250 0.167 0.335
O2 0.500 0.783 0.000
O3 0.000 0.783 0.000
O4 0.750 0.833 0.665
O5 0.000 0.217 0.000
O6 0.500 0.217 0.000
Si1 0.250 0.041 0.083
Si2 0.750 0.959 0.917
Li1 0.750 0.529 0.058
Li2 0.250 0.471 0.942

***

A geometry-optimized TcAu2 structure, computed with GGA-PBE.

Summary:
* ΔE to the lowest computed polymorph: 0 meV/atom
* SG: Cmcm

abc: 6.614 6.614 3.793
angles: 90.00 90.00 141.60
Sites, in units of the cell vectors:
Au1 0.754 0.246 0.250
Au2 0.414 0.586 0.250
Au3 0.586 0.414 0.750
Au4 0.246 0.754 0.750
Tc1 0.940 0.060 0.750
Tc2 0.060 0.940 0.250

***

A geometry-optimized Pa2AsSe structure, computed with GGA-PBE.

Summary:
* formation energy from raw total energies: -1.14 eV/atom
* ΔE to the lowest computed polymorph: 0 meV/atom
* SG: R-3m

abc: 4.150 4.150 6.869
angles: 72.42 72.42 60.00
Sites, in units of the cell vectors:
As1 0.000 0.000 0.000
Pa1 0.250 0.250 0.251
Pa2 0.750 0.750 0.749
Se1 0.500 0.500 0.500

***

A geometry-optimized ScCl8 structure, computed with GGA-PBE.

Summary:
* formation energy from raw total energies: -0.33 eV/atom
* SG: I4/mmm

abc: 8.395 8.395 8.395
angles: 94.06 94.06 149.15
Sites, in units of the cell vectors:
Cl1 0.642 0.358 0.000
Cl2 0.642 0.642 0.285
Cl3 0.358 0.358 0.715
Cl4 0.358 0.642 0.000
Cl5 0.000 0.783 0.783
Cl6 0.783 0.000 0.783
Cl7 0.000 0.217 0.217
Cl8 0.217 0.000 0.217
Sc1 0.000 0.000 0.000

***

A geometry-optimized Al3Fe13 structure, computed with GGA-PBE.

Summary:
* energy: -121.76 eV for the cell shown
* SG: Amm2

abc: 5.998 5.998 4.989
angles: 90.00 90.00 95.05
Each line ends with the local moment (μB).
Sites, in units of the cell vectors:
Fe1 0.309 0.211 0.500  1.42
Fe2 0.535 0.947 0.255  -1.26
Fe3 0.789 0.707 0.000  1.38
Fe4 0.535 0.947 0.745  -1.26
Fe5 0.702 0.298 0.500  1.18
Fe6 0.789 0.691 0.500  1.42
Fe7 0.053 0.465 0.255  -1.26
Fe8 0.293 0.211 0.000  1.38
Fe9 0.450 0.550 0.745  -1.22
Fe10 0.210 0.790 0.500  1.05
Fe11 0.211 0.789 0.000  1.18
Fe12 0.053 0.465 0.745  -1.26
Fe13 0.450 0.550 0.255  -1.22
Al1 0.696 0.304 0.000  0.02
Al2 0.963 0.037 0.746  -0.02
Al3 0.963 0.037 0.254  -0.02

***

A geometry-optimized CeNbGaO6 structure, computed with GGA-PBE.

Summary:
* formation energy from raw total energies: -2.58 eV/atom
* SG: P-31c

abc: 5.217 5.217 9.860
angles: 90.00 90.00 120.00
Sites, in units of the cell vectors:
O1 0.356 0.355 0.362
O2 0.645 0.644 0.138
O3 0.999 0.355 0.138
O4 0.356 0.001 0.138
O5 0.001 0.645 0.862
O6 0.644 0.999 0.862
O7 0.355 0.999 0.638
O8 0.001 0.356 0.638
O9 0.355 0.356 0.862
O10 0.644 0.645 0.638
O11 0.645 0.001 0.362
O12 0.999 0.644 0.362
Ga1 0.667 0.333 0.250
Ga2 0.333 0.667 0.750
Ce1 0.000 0.000 0.500
Ce2 0.000 0.000 0.000
Nb1 0.667 0.333 0.750
Nb2 0.333 0.667 0.250

***

A geometry-optimized CsU2CoS4 structure, computed with GGA-PBE.

Summary:
* formation energy from raw total energies: -1.20 eV/atom
* SG: Cmcm

abc: 3.882 7.374 13.444
angles: 90.00 90.00 105.26
Each line ends with the local moment (μB).
Sites, in units of the cell vectors:
S1 0.000 0.000 0.500  -0.08
S2 0.258 0.516 0.390  -0.08
S3 0.742 0.484 0.610  -0.08
S4 0.000 0.000 0.000  -0.08
S5 0.592 0.184 0.250  -0.09
S6 0.258 0.516 0.110  -0.08
S7 0.742 0.484 0.890  -0.08
S8 0.408 0.816 0.750  -0.09
Co1 0.173 0.346 0.250  -1.07
Co2 0.827 0.654 0.750  -1.07
Cs1 0.097 0.194 0.750  0.00
Cs2 0.903 0.806 0.250  0.00
U1 0.364 0.729 0.941  2.35
U2 0.636 0.271 0.441  2.35
U3 0.364 0.729 0.559  2.35
U4 0.636 0.271 0.059  2.35

***

A geometry-optimized SrCoPb2 structure, computed with GGA-PBE.

Summary:
* energy: -15.94 eV for the cell shown
* SG: Immm

abc: 6.137 6.137 6.137
angles: 146.34 122.66 68.16
Each line ends with the local moment (μB).
Sites, in units of the cell vectors:
Pb1 0.451 0.451 0.000  -0.01
Pb2 0.049 0.049 0.000  -0.01
Co1 0.250 0.750 0.500  0.97
Sr1 0.750 0.250 0.500  -0.03

***

A geometry-optimized Pm2HoGe4Pd3 structure, computed with GGA-PBE.

Summary:
* energy: -56.07 eV for the cell shown
* SG: P-4m2

abc: 4.275 4.275 11.417
angles: 90.00 90.00 90.00
Sites, in units of the cell vectors:
Pd1 0.000 0.000 0.500
Pd2 0.500 0.000 0.880
Pd3 0.000 0.500 0.120
Ge1 0.500 0.000 0.664
Ge2 0.000 0.500 0.336
Ge3 0.000 0.000 0.000
Ge4 0.500 0.500 0.000
Pm1 0.000 0.500 0.771
Pm2 0.500 0.000 0.229
Ho1 0.500 0.500 0.500

***

A geometry-optimized SrCd4Sn structure, computed with GGA-PBE.

Summary:
* ΔE to the lowest computed polymorph: 96 meV/atom
* SG: Cmcm

abc: 4.993 7.875 9.331
angles: 90.00 105.52 90.00
Sites, in units of the cell vectors:
Cd1 0.000 0.000 0.000
Cd2 0.769 0.578 0.539
Cd3 0.769 0.922 0.539
Cd4 0.434 0.250 0.868
Cd5 0.231 0.078 0.461
Cd6 0.000 0.500 0.000
Cd7 0.566 0.750 0.132
Cd8 0.231 0.422 0.461
Sn1 0.843 0.250 0.685
Sn2 0.157 0.750 0.315
Sr1 0.383 0.750 0.765
Sr2 0.617 0.250 0.235

***

A geometry-optimized PmPu2Sn3 structure, computed with GGA-PBE.

Summary:
* energy: -48.31 eV for the cell shown
* SG: P4/mmm

abc: 3.421 3.421 13.677
angles: 90.00 90.00 90.00
Each line ends with the local moment (μB).
Sites, in units of the cell vectors:
Pm1 0.500 0.500 0.500  -0.01
Pu1 0.500 0.500 0.834  5.50
Pu2 0.500 0.500 0.166  5.50
Sn1 0.000 0.000 0.000  -0.07
Sn2 0.000 0.000 0.669  -0.04
Sn3 0.000 0.000 0.331  -0.04

***

no.,magnetization (Bohr magnetons per cell)
1,0.0
2,0.0
3,0.0
4,0.0
5,0.1
6,1.5
7,0.0
8,7.9
9,0.8
10,0.0
11,0.0
12,11.6